*one*
Density functional theory data (PBE-GGA) for crystalline PtC3 at its relaxed geometry.

Cell and atoms, written as POSCAR:
```
PtC3
1.0
4.225 0.000 0.000
0.000 4.225 0.000
0.000 0.000 4.225
Pt C
2 6
direct
0.000 0.000 0.000 Pt
0.500 0.500 0.500 Pt
0.000 0.250 0.500 C
0.000 0.750 0.500 C
0.250 0.500 0.000 C
0.500 0.000 0.250 C
0.500 0.000 0.750 C
0.750 0.500 0.000 C
```

The density of states at the Fermi level is 0.280 states/eV/atom. Its space group is Pm-3n, No. 223. Its magnetic moment is 0.0 μB per cell.



*two*
Density functional theory data (PBE-GGA) for crystalline PtC3 at its relaxed geometry.

Cell and atoms, written as POSCAR:
```
PtC3
1.0
1.236 -3.873 0.000
1.236 3.873 0.000
0.000 0.000 5.595
Pt C
1 3
direct
0.000 0.000 0.000 Pt
0.000 0.000 0.500 C
0.500 0.500 0.318 C
0.500 0.500 0.682 C
```

The density of states at the Fermi level is 0.436 states/eV/atom. Its space group is Cmmm, No. 65. Its magnetic moment is 0.0 μB per cell.



*three*
Density functional theory data (PBE-GGA) for crystalline PtC3 at its relaxed geometry.

Cell and atoms, written as POSCAR:
```
PtC3
1.0
-2.087 2.087 2.087
2.087 -2.087 2.087
2.087 2.087 -2.087
Pt C
1 3
direct
0.000 0.000 0.000 Pt
0.000 0.500 0.500 C
0.500 0.000 0.500 C
0.500 0.500 0.000 C
```

The density of states at the Fermi level is 0.938 states/eV/atom. Its space group is Im-3m, No. 229. Its magnetic moment is 0.0 μB per cell.



Verdict on stability: *one* comes out at the bottom.



*one*
Density functional theory data (PBE-GGA) for crystalline PtC3 at its relaxed geometry.

Cell and atoms, written as POSCAR:
```
PtC3
1.0
-1.817 1.817 2.829
1.817 -1.817 2.829
1.817 1.817 -2.829
Pt C
1 3
direct
0.000 0.000 0.000 Pt
0.250 0.750 0.500 C
0.500 0.500 0.000 C
0.750 0.250 0.500 C
```

The density of states at the Fermi level is 0.454 states/eV/atom. Its space group is I4/mmm, No. 139. Its magnetic moment is 0.0 μB per cell.



*two*
Density functional theory data (PBE-GGA) for crystalline PtC3 at its relaxed geometry.

Cell and atoms, written as POSCAR:
```
PtC3
1.0
4.289 0.000 0.000
-2.145 3.715 0.000
0.000 0.000 9.121
Pt C
2 6
direct
0.333 0.667 0.250 Pt
0.667 0.333 0.750 Pt
0.220 0.440 0.750 C
0.220 0.780 0.750 C
0.440 0.220 0.250 C
0.560 0.780 0.750 C
0.780 0.220 0.250 C
0.780 0.560 0.250 C
```

The density of states at the Fermi level is 0.427 states/eV/atom. Its space group is P6_3/mmc, No. 194. Its magnetic moment is 0.0 μB per cell.



*three*
Density functional theory data (PBE-GGA) for crystalline PtC3 at its relaxed geometry.

Cell and atoms, written as POSCAR:
```
PtC3
1.0
-1.689 1.689 8.238
1.689 -1.689 8.238
1.689 1.689 -8.238
Pt C
2 6
direct
0.183 0.183 0.000 Pt
0.817 0.817 0.000 Pt
0.000 0.500 0.500 C
0.250 0.750 0.500 C
0.453 0.453 0.000 C
0.500 0.000 0.500 C
0.547 0.547 0.000 C
0.750 0.250 0.500 C
```

The density of states at the Fermi level is 0.324 states/eV/atom. Its space group is I4/mmm, No. 139. Its magnetic moment is 0.0 μB per cell.



Verdict on stability: *one* comes out at the bottom.



*one*
Density functional theory data (PBE-GGA) for crystalline PtC3 at its relaxed geometry.

Cell and atoms, written as POSCAR:
```
PtC3
1.0
1.325 0.765 5.584
-1.325 0.765 5.584
0.000 -1.530 5.584
Pt C
1 3
direct
0.000 0.000 0.000 Pt
0.220 0.220 0.220 C
0.500 0.500 0.500 C
0.780 0.780 0.780 C
```

The density of states at the Fermi level is 0.427 states/eV/atom. Its space group is R-3m, No. 166. Its magnetic moment is 0.0 μB per cell.



*two*
Density functional theory data (PBE-GGA) for crystalline PtC3 at its relaxed geometry.

Cell and atoms, written as POSCAR:
```
PtC3
1.0
3.846 0.000 0.000
0.000 3.301 0.000
-1.255 0.000 3.876
Pt C
1 3
direct
0.000 0.000 0.000 Pt
0.007 0.500 0.341 C
0.500 0.000 0.000 C
0.993 0.500 0.659 C
```

The density of states at the Fermi level is 0.236 states/eV/atom. Its space group is P2/m, No. 10. Its magnetic moment is 0.0 μB per cell.



*three*
Density functional theory data (PBE-GGA) for crystalline PtC3 at its relaxed geometry.

Cell and atoms, written as POSCAR:
```
PtC3
1.0
4.210 0.000 0.000
-2.105 3.646 0.000
0.000 0.000 17.375
Pt C
4 12
direct
0.000 0.000 0.000 Pt
0.000 0.000 0.500 Pt
0.333 0.667 0.250 Pt
0.667 0.333 0.750 Pt
0.000 0.500 0.000 C
0.000 0.500 0.500 C
0.115 0.230 0.750 C
0.115 0.885 0.750 C
0.230 0.115 0.250 C
0.500 0.000 0.000 C
0.500 0.000 0.500 C
0.500 0.500 0.000 C
0.500 0.500 0.500 C
0.770 0.885 0.750 C
0.885 0.115 0.250 C
0.885 0.770 0.250 C
```

The density of states at the Fermi level is 0.473 states/eV/atom. Its space group is P6_3/mmc, No. 194. Its magnetic moment is 0.0 μB per cell.



*four*
Density functional theory data (PBE-GGA) for crystalline PtC3 at its relaxed geometry.

Cell and atoms, written as POSCAR:
```
PtC3
1.0
1.626 0.939 4.815
-1.626 0.939 4.815
0.000 -1.878 4.815
Pt C
1 3
direct
0.000 0.000 0.000 Pt
0.409 0.409 0.409 C
0.500 0.500 0.500 C
0.591 0.591 0.591 C
```

The density of states at the Fermi level is 0.209 states/eV/atom. Its space group is R-3m, No. 166. Its magnetic moment is 0.0 μB per cell.



Verdict on stability: *three* comes out at the bottom.



*one*
Density functional theory data (PBE-GGA) for crystalline Pt4C5 at its relaxed geometry.

Cell and atoms, written as POSCAR:
```
Pt4C5
1.0
-4.873 4.873 1.308
4.873 -4.873 1.308
4.873 4.873 -1.308
Pt C
4 5
direct
0.000 0.205 0.205 Pt
0.000 0.795 0.795 Pt
0.205 0.000 0.205 Pt
0.795 0.000 0.795 Pt
0.000 0.000 0.000 C
0.224 0.224 0.449 C
0.224 0.776 0.000 C
0.776 0.224 0.000 C
0.776 0.776 0.551 C
```

The density of states at the Fermi level is 0.212 states/eV/atom. Its space group is I4/mmm, No. 139. Its magnetic moment is 0.0 μB per cell.



*two*
Density functional theory data (PBE-GGA) for crystalline Pt4C5 at its relaxed geometry.

Cell and atoms, written as POSCAR:
```
Pt4C5
1.0
6.355 0.000 0.000
-3.177 5.503 0.000
0.000 0.000 5.989
Pt C
8 10
direct
0.000 0.000 0.000 Pt
0.000 0.000 0.500 Pt
0.000 0.473 0.250 Pt
0.000 0.527 0.750 Pt
0.473 0.000 0.250 Pt
0.473 0.473 0.750 Pt
0.527 0.000 0.750 Pt
0.527 0.527 0.250 Pt
0.000 0.224 0.750 C
0.000 0.776 0.250 C
0.224 0.000 0.750 C
0.224 0.224 0.250 C
0.333 0.667 0.000 C
0.333 0.667 0.500 C
0.667 0.333 0.000 C
0.667 0.333 0.500 C
0.776 0.000 0.250 C
0.776 0.776 0.750 C
```

The density of states at the Fermi level is 0.518 states/eV/atom. Its space group is P6_3/mcm, No. 193. Its magnetic moment is 0.0 μB per cell.



Verdict on stability: *two* comes out at the bottom.